# 1
An optimized crystal structure of BaYFe4O7. Source: Alexandria, functional GGA-PBEsol.

Unit cell a=6.2148 b=6.2148 c=10.5923 alpha=90.00 beta=90.00 gamma=120.00
Fractional coordinates of all 26 atoms:
Ba 0.3333 0.6667 0.0000
Ba 0.6667 0.3333 0.5000
Y 0.3333 0.6667 0.5973
Y 0.6667 0.3333 0.0973
Fe 0.0000 0.0000 0.0519
Fe 0.0000 0.0000 0.5519
Fe 0.1862 0.3725 0.2996
Fe 0.1862 0.8138 0.2996
Fe 0.3725 0.1862 0.7996
Fe 0.6275 0.8138 0.2996
Fe 0.8138 0.1862 0.7996
Fe 0.8138 0.6275 0.7996
O 0.0000 0.0000 0.2323
O 0.0000 0.0000 0.7323
O 0.0138 0.5069 0.2068
O 0.1617 0.3235 0.4768
O 0.1617 0.8383 0.4768
O 0.3235 0.1617 0.9768
O 0.4931 0.5069 0.2068
O 0.4931 0.9862 0.2068
O 0.5069 0.0138 0.7068
O 0.5069 0.4931 0.7068
O 0.6765 0.8383 0.4768
O 0.8383 0.1617 0.9768
O 0.8383 0.6765 0.9768
O 0.9862 0.4931 0.7068

Computed properties:
The value obtained for the offset from the most stable computed form is 16 meV per atom. Its formation energy from raw total energies is -170 kJ/mol of atoms. Its space-group type is P6_3mc (186).

# 2
An optimized crystal structure of Ba2FeOs. Source: Alexandria, functional GGA-PBEsol.

Unit cell a=4.0231 b=4.8984 c=11.4962 alpha=90.00 beta=90.00 gamma=90.00
Fractional coordinates of all 8 atoms:
Ba 0.0000 0.0000 0.0000
Ba 0.0000 0.5000 0.5000
Ba 0.5000 0.0000 0.2870
Ba 0.5000 0.5000 0.7870
Fe 0.5000 0.0000 0.6018
Fe 0.5000 0.5000 0.1018
Os 0.0000 0.0000 0.6863
Os 0.0000 0.5000 0.1863

Computed properties:
Its space-group type is Amm2 (38). The formation energy comes out at 0.564 eV per atom.

M_tot for the records above, in order: 1.31, 0.14 μB/atom